Record 1
Compound: Rb3Dy3PuSe8
Source: Alexandria
Functional: PBE
Structure: relaxed

## Properties
Uncorrected formation energy (meV/atom): -1640

```
data_Rb3Dy3PuSe8
_chemical_formula_sum 'Rb9 Dy9 Pu3 Se24'
_space_group_name_H-M_alt 'R -3 m'
_space_group_IT_number 166
_space_group_name_Hall '-R 3 2"'
_cell_length_a 8.3977
_cell_length_b 8.3977
_cell_length_c 24.4127
_cell_angle_alpha 90.00
_cell_angle_beta 90.00
_cell_angle_gamma 120.00
loop_
_atom_site_label
_atom_site_type_symbol
_atom_site_fract_x
_atom_site_fract_y
_atom_site_fract_z
_atom_site_occupancy
Rb1 Rb 0.0000 0.5000 0.0000 1
Dy1 Dy 0.0000 0.5000 0.5000 1
Pu1 Pu 0.0000 0.0000 0.5000 1
Se1 Se 0.0000 0.0000 0.2315 1
Se2 Se 0.0034 0.5017 0.2302 1
```


Record 2
Compound: Rb4Dy3PuSe8
Source: Alexandria
Functional: PBE
Structure: relaxed

## Properties
Uncorrected formation energy (meV/atom): -1655

```
data_Rb4Dy3PuSe8
_chemical_formula_sum 'Rb12 Dy9 Pu3 Se24'
_space_group_name_H-M_alt 'R -3 m'
_space_group_IT_number 166
_space_group_name_Hall '-R 3 2"'
_cell_length_a 8.5373
_cell_length_b 8.5373
_cell_length_c 23.9536
_cell_angle_alpha 90.00
_cell_angle_beta 90.00
_cell_angle_gamma 120.00
loop_
_atom_site_label
_atom_site_type_symbol
_atom_site_fract_x
_atom_site_fract_y
_atom_site_fract_z
_atom_site_occupancy
Rb1 Rb 0.0000 0.0000 0.0000 1
Rb2 Rb 0.0000 0.5000 0.0000 1
Dy1 Dy 0.0000 0.5000 0.5000 1
Pu1 Pu 0.0000 0.0000 0.5000 1
Se1 Se 0.0000 0.0000 0.2318 1
Se2 Se 0.0039 0.5020 0.7683 1
```


Record 3
Compound: Rb4Dy3PuTe8
Source: Alexandria
Functional: PBE
Structure: relaxed

## Properties
Uncorrected formation energy (meV/atom): -1306

```
data_Rb4Dy3PuTe8
_chemical_formula_sum 'Rb12 Dy9 Pu3 Te24'
_space_group_name_H-M_alt 'R -3 m'
_space_group_IT_number 166
_space_group_name_Hall '-R 3 2"'
_cell_length_a 9.1069
_cell_length_b 9.1069
_cell_length_c 25.6154
_cell_angle_alpha 90.00
_cell_angle_beta 90.00
_cell_angle_gamma 120.00
loop_
_atom_site_label
_atom_site_type_symbol
_atom_site_fract_x
_atom_site_fract_y
_atom_site_fract_z
_atom_site_occupancy
Rb1 Rb 0.0000 0.0000 0.0000 1
Rb2 Rb 0.0000 0.5000 0.0000 1
Dy1 Dy 0.0000 0.5000 0.5000 1
Pu1 Pu 0.0000 0.0000 0.5000 1
Te1 Te 0.0000 0.0000 0.2330 1
Te2 Te 0.0043 0.5022 0.7670 1
```


Record 4
Compound: Rb2DyPuTe4
Source: Alexandria
Functional: PBE
Structure: relaxed

## Properties
Uncorrected formation energy (meV/atom): -1234

```
data_Rb2DyPuTe4
_chemical_formula_sum 'Rb2 Dy1 Pu1 Te4'
_space_group_name_H-M_alt 'P 1 2/m 1'
_space_group_IT_number 10
_space_group_name_Hall '-P 2y'
_cell_length_a 7.933
_cell_length_b 4.570
_cell_length_c 8.917
_cell_angle_alpha 90.00
_cell_angle_beta 107.21
_cell_angle_gamma 90.00
loop_
_atom_site_label
_atom_site_type_symbol
_atom_site_fract_x
_atom_site_fract_y
_atom_site_fract_z
_atom_site_occupancy
Rb1 Rb 0.000 0.000 0.000 1
Rb2 Rb 0.500 0.500 0.000 1
Dy1 Dy 0.000 0.500 0.500 1
Pu1 Pu 0.500 0.000 0.500 1
Te1 Te 0.229 0.000 0.699 1
Te2 Te 0.264 0.500 0.301 1
```


- Number 2 is which compound?
  Rb4Dy3PuSe8


- Which value of uncorrected formation energy does entry 4 give?
  -1234 meV/atom


- What is the uncorrected formation energy in the fourth record?
  -1234 meV/atom


- Which of these has the highest uncorrected formation energy?
  Rb2DyPuTe4